Below is crystalline PrSc4Fe at its relaxed geometry, with properties calculated at the PBE level.

Cell: 7.120 7.120 3.237 Å, 90.00 90.00 90.29°
Element x y z (fractional)
Sc  0.695  0.695  0.500
Sc  0.271  0.729  0.000
Sc  0.729  0.271  0.000
Sc  0.305  0.305  0.500
Pr  0.000  0.000  0.500
Fe  0.500  0.500  0.000

## Properties
formation energy: 0.412 eV per atom
volume: 164 Å³/f.u.

Below is crystalline PrScFe at its relaxed geometry, with properties calculated at the PBE level.

Cell: 4.627 4.627 4.627 Å, 60.00 60.00 60.00°
Element x y z (fractional)
Fe  0.000  0.000  0.000
Pr  0.250  0.250  0.250
Sc  0.750  0.750  0.750

## Properties
formation energy: 0.258 eV per atom
polymorph energy (0 for the lowest one): 0.000 eV per formula unit
volume: 70 Å³/f.u.

Below is crystalline PrFeSi at its relaxed geometry, with properties calculated at the PBE level.

Cell: 4.067 4.067 6.974 Å, 90.00 90.00 90.00°
Element x y z (fractional)
Fe  0.000  0.500  0.000
Fe  0.500  0.000  0.000
Si  0.500  0.500  0.162
Si  0.000  0.000  0.839
Pr  0.000  0.000  0.317
Pr  0.500  0.500  0.683

## Properties
volume: 58 Å³/f.u.
final energy: -40.4 eV for the cell shown

Below is crystalline PrSm2Fe4Si4 at its relaxed geometry, with properties calculated at the PBE level.

Cell: 12.150 12.150 12.150 Å, 160.94 160.84 27.15°
Site moments in Bohr magnetons follow the coordinates.
Element x y z (fractional)
Fe  0.100  0.600  0.500  1.79
Fe  0.750  0.750  0.000  -0.55
Fe  0.900  0.400  0.500  1.79
Fe  0.250  0.250  0.000  -0.55
Si  0.552  0.552  0.000  -0.01
Si  0.448  0.448  0.000  -0.01
Si  0.797  0.297  0.500  0.02
Si  0.203  0.703  0.500  0.02
Pr  0.000  0.000  0.000  -0.05
Sm  0.651  0.151  0.500  -0.02
Sm  0.349  0.849  0.500  -0.02

## Properties
volume: 192 Å³/f.u.
final energy: -74.4 eV for the cell shown

Below is crystalline PrSmFe2Si2 at its relaxed geometry, with properties calculated at the PBE level.

Cell: 4.053 4.053 6.821 Å, 90.00 90.00 90.00°
Element x y z (fractional)
Sm  0.500  0.500  0.687
Si  0.500  0.500  0.164
Si  0.000  0.000  0.831
Fe  0.500  0.000  0.997
Fe  0.000  0.500  0.997
Pr  0.000  0.000  0.323

## Properties
volume: 112 Å³/f.u.
final energy: -40.4 eV for the cell shown

Below is crystalline PrTmFe2Si2 at its relaxed geometry, with properties calculated at the PBE level.

Cell: 4.043 4.043 6.650 Å, 90.00 90.00 90.00°
Element x y z (fractional)
Si  0.000  0.000  0.823
Si  0.500  0.500  0.166
Fe  0.500  0.000  0.991
Fe  0.000  0.500  0.991
Tm  0.500  0.500  0.697
Pr  0.000  0.000  0.332

## Properties
volume: 109 Å³/f.u.
final energy: -40.3 eV for the cell shown

Below is crystalline PrYFe2Si2 at its relaxed geometry, with properties calculated at the PBE level.

Cell: 4.047 4.047 6.769 Å, 90.00 90.00 90.00°
Element x y z (fractional)
Pr  0.000  0.000  0.326
Fe  0.500  0.000  0.995
Fe  0.000  0.500  0.995
Si  0.500  0.500  0.164
Si  0.000  0.000  0.827
Y  0.500  0.500  0.693

## Properties
volume: 111 Å³/f.u.
final energy: -42.3 eV for the cell shown

Below is crystalline PrYFe2Si4 at its relaxed geometry, with properties calculated at the PBE level.

Cell: 4.313 3.999 8.033 Å, 90.00 103.53 90.00°
Element x y z (fractional)
Si  0.827  0.500  0.008
Si  0.544  0.000  0.595
Si  0.455  0.500  0.399
Si  0.174  0.000  0.998
Pr  0.100  0.500  0.703
Y  0.897  0.000  0.292
Fe  0.618  0.000  0.893
Fe  0.384  0.500  0.111

## Properties
volume: 135 Å³/f.u.
final energy: -55.1 eV for the cell shown

Below is crystalline Pr2FeSn6 at its relaxed geometry, with properties calculated at the PBE level.

Cell: 11.976 11.976 4.536 Å, 90.00 90.00 158.59°
Site moments in Bohr magnetons follow the coordinates.
Element x y z (fractional)
Sn  0.066  0.934  0.500  -0.03
Sn  0.934  0.066  0.500  -0.03
Sn  0.208  0.792  0.000  0.00
Sn  0.567  0.433  0.000  -0.03
Sn  0.433  0.567  0.000  -0.03
Sn  0.792  0.208  0.000  0.00
Pr  0.326  0.674  0.500  0.01
Pr  0.674  0.326  0.500  0.01
Fe  0.000  0.000  0.000  1.88

## Properties
volume: 238 Å³/f.u.
final energy: -45.5 eV for the cell shown

Below is crystalline SrPrFe2Sn4 at its relaxed geometry, with properties calculated at the PBE level.

Cell: 4.701 9.276 9.276 Å, 29.29 90.00 90.00°
Site moments in Bohr magnetons follow the coordinates.
Element x y z (fractional)
Sn  0.000  0.548  0.548  -0.02
Sn  0.500  0.450  0.450  -0.03
Sn  0.500  0.751  0.751  -0.05
Sn  0.000  0.253  0.253  -0.04
Sr  0.500  0.106  0.106  0.00
Fe  0.000  0.689  0.689  1.91
Fe  0.500  0.311  0.311  1.85
Pr  0.000  0.891  0.891  0.00

## Properties
volume: 198 Å³/f.u.
final energy: -41.1 eV for the cell shown

Below is crystalline SrPrFe at its relaxed geometry, with properties calculated at the PBE level.

Cell: 5.050 5.050 5.050 Å, 60.00 60.00 60.00°
Element x y z (fractional)
Fe  0.250  0.250  0.250
Pr  0.000  0.000  0.000
Sr  0.750  0.750  0.750

## Properties
volume: 91 Å³/f.u.
final energy: -11.5 eV for the cell shown

Below is crystalline PrFeTc at its relaxed geometry, with properties calculated at the PBE level.

Cell: 4.555 4.555 4.555 Å, 60.00 60.00 60.00°
Site moments in Bohr magnetons follow the coordinates.
Element x y z (fractional)
Tc  0.000  0.000  0.000  1.48
Fe  0.500  0.500  0.500  2.57
Pr  0.250  0.250  0.250  -0.22

## Properties
formation energy: 1.450 eV per atom
polymorph energy (0 for the lowest one): 2.170 eV per formula unit
volume: 67 Å³/f.u.